Computed, not measured: a relaxed CsFeAu2F crystal at the PBE+U level of DFT.

Lattice parameters (Å, degrees): 6.052 6.052 4.968 90.00 90.00 90.00
Element x y z (fractional)
Cs: 0.000 0.000 0.000
Fe: 0.500 0.500 0.500
Au: 0.000 0.500 0.000
Au: 0.500 0.000 0.000
F: 0.000 0.000 0.500

Output
- Raw total energy: -11.40 eV for the cell shown
- V: 36.39 Å³/atom
- Total moment: 0.745 μB per atom